1.
Below is BeNi2Pt after structural relaxation, with properties calculated at the GGA-PBE level.

Results
ΔE_f	-0.248	eV per atom
DOS(E_F)	1.346	states/eV per atom
magnetization	0.62	Bohr magnetons per cell
space-group type	Cm, No. 8
ρ	11.6	g/cm³

Lattice parameters (Å, degrees): 4.458 4.458 4.267 109.62 109.62 35.33
Atoms (fractional coordinates):
1 Be 0.000 0.000 0.000
2 Ni 0.480 0.480 0.493
3 Ni 0.718 0.718 0.298
4 Pt 0.259 0.259 0.830

2.
Below is Ac2DyMnSe5 after structural relaxation, with properties calculated at the GGA-PBE level.

Results
formation energy from raw total energies	-1.654	eV per atom
DOS(E_F)	0.364	states/eV per atom
magnetization	8.62	Bohr magnetons per cell
space-group type	Cmc2_1, No. 36
ρ	7.3	g/cm³

Lattice parameters (Å, degrees): 9.140 9.140 12.832 90.00 90.00 153.16
Atoms (fractional coordinates):
1 Ac 0.121 0.879 0.500
2 Ac 0.122 0.878 0.857
3 Ac 0.878 0.122 0.357
4 Ac 0.879 0.121 0.000
5 Dy 0.184 0.816 0.182
6 Dy 0.816 0.184 0.682
7 Mn 0.444 0.556 0.595
8 Mn 0.556 0.444 0.095
9 Se 0.023 0.977 0.187
10 Se 0.304 0.696 0.838
11 Se 0.308 0.692 0.526
12 Se 0.346 0.654 0.178
13 Se 0.497 0.503 0.920
14 Se 0.503 0.497 0.420
15 Se 0.654 0.346 0.678
16 Se 0.692 0.308 0.026
17 Se 0.696 0.304 0.338
18 Se 0.977 0.023 0.687

3.
Below is TbSi2TcRu after structural relaxation, with properties calculated at the GGA-PBE level.

Results
formation energy from raw total energies	-0.755	eV per atom
DOS(E_F)	0.777	states/eV per atom
magnetization	0.00	Bohr magnetons per cell
space-group type	I-4m2, No. 119
ρ	8.0	g/cm³

Lattice parameters (Å, degrees): 5.677 5.677 5.677 136.50 136.50 63.22
Atoms (fractional coordinates):
1 Tb 0.000 0.000 0.000
2 Si 0.370 0.370 0.000
3 Si 0.630 0.630 0.000
4 Tc 0.750 0.250 0.500
5 Ru 0.250 0.750 0.500